Entry 1:
# Ba2HgSb (meta-GGA SCAN, single point on PBEsol structure)
data_Ba2HgSb
_chemical_formula_sum 'Ba4 Hg2 Sb2'
_space_group_name_H-M_alt 'A m m 2'
_space_group_IT_number 38
_cell_length_a 4.965
_cell_length_b 4.833
_cell_length_c 12.548
_cell_angle_alpha 90.00
_cell_angle_beta 90.00
_cell_angle_gamma 90.00
loop_
_space_group_symop_operation_xyz
'x,y,z'
'-x,-y,z'
'-x,y,z'
'x,-y,z'
'x,y+1/2,z+1/2'
'-x,-y+1/2,z+1/2'
'-x,y+1/2,z+1/2'
'x,-y+1/2,z+1/2'
loop_
_atom_site_label
_atom_site_type_symbol
_atom_site_fract_x
_atom_site_fract_y
_atom_site_fract_z
Ba1 Ba 0.000 0.000 0.000
Ba2 Ba 0.500 0.000 0.270
Hg1 Hg 0.500 0.000 0.551
Sb1 Sb 0.000 0.000 0.712
# V: 37.64 Å³/atom
# total energy: -376.7 eV for the cell shown
# excess energy over the best structure of this formula in the dataset: 0 meV per atom
# E_form (uncorrected): -950 meV/atom



Entry 2:
# CaAsH3O5 (meta-GGA SCAN, single point on PBEsol structure)
data_CaAsH3O5
_chemical_formula_sum 'Ca8 As8 H24 O40'
_space_group_name_H-M_alt 'P b c n'
_space_group_IT_number 60
_cell_length_a 6.919
_cell_length_b 7.852
_cell_length_c 15.892
_cell_angle_alpha 90.00
_cell_angle_beta 90.00
_cell_angle_gamma 90.00
loop_
_space_group_symop_operation_xyz
'x,y,z'
'-x,-y,-z'
'-x+1/2,-y+1/2,z+1/2'
'x+1/2,y+1/2,-z+1/2'
'x+1/2,-y+1/2,-z'
'-x+1/2,y+1/2,z'
'-x,y,-z+1/2'
'x,-y,z+1/2'
loop_
_atom_site_label
_atom_site_type_symbol
_atom_site_fract_x
_atom_site_fract_y
_atom_site_fract_z
Ca1 Ca 0.127 0.186 0.046
As1 As 0.131 0.438 0.887
H1 H 0.085 0.125 0.647
H2 H 0.173 0.018 0.213
H3 H 0.175 0.240 0.315
O1 O 0.041 0.298 0.579
O2 O 0.048 0.364 0.364
O3 O 0.118 0.003 0.657
O4 O 0.203 0.064 0.467
O5 O 0.231 0.355 0.794
# V: 10.79 Å³/atom
# total energy: -709.0 eV for the cell shown



Entry 3:
# Cd2CoCu (meta-GGA SCAN, single point on PBEsol structure)
data_Cd2CoCu
_chemical_formula_sum 'Cd2 Co1 Cu1'
_space_group_name_H-M_alt 'P 1 m 1'
_space_group_IT_number 6
_cell_length_a 2.777
_cell_length_b 4.261
_cell_length_c 5.300
_cell_angle_alpha 90.00
_cell_angle_beta 104.63
_cell_angle_gamma 90.00
loop_
_space_group_symop_operation_xyz
'x,y,z'
'x,-y,z'
loop_
_atom_site_label
_atom_site_type_symbol
_atom_site_fract_x
_atom_site_fract_y
_atom_site_fract_z
Cd1 Cd 0.000 0.000 0.000
Cd2 Cd 0.322 0.500 0.660
Co1 Co 0.598 0.500 0.198
Cu1 Cu 0.720 0.000 0.453
# V: 15.17 Å³/atom
# E_form: 0.2069 eV per atom
# total energy: -92.5 eV for the cell shown
# excess energy over the best structure of this formula in the dataset: 25 meV per atom



Entry 4:
# InCuSi (meta-GGA SCAN, single point on PBEsol structure)
data_InCuSi
_chemical_formula_sum 'In1 Cu1 Si1'
_space_group_name_H-M_alt 'P 3 m 1'
_space_group_IT_number 156
_cell_length_a 3.1927
_cell_length_b 3.1927
_cell_length_c 5.7500
_cell_angle_alpha 90.00
_cell_angle_beta 90.00
_cell_angle_gamma 120.00
loop_
_space_group_symop_operation_xyz
'x,y,z'
'-y,x-y,z'
'-x+y,-x,z'
'-y,-x,z'
'-x+y,y,z'
'x,x-y,z'
loop_
_atom_site_label
_atom_site_type_symbol
_atom_site_fract_x
_atom_site_fract_y
_atom_site_fract_z
In1 In 0.0000 0.0000 0.0000
Cu1 Cu 0.6667 0.3333 0.3491
Si1 Si 0.3333 0.6667 0.6121
# V: 16.92 Å³/atom
# total energy: -57.7 eV for the cell shown
# E_form (uncorrected): 294 meV/atom



Entry 5:
# KZn3Ir (meta-GGA SCAN, single point on PBEsol structure)
data_KZn3Ir
_chemical_formula_sum 'K1 Zn3 Ir1'
_space_group_name_H-M_alt 'P m -3 m'
_space_group_IT_number 221
_space_group_name_Hall '-P 4 2 3'
_cell_length_a 5.000
_cell_length_b 5.000
_cell_length_c 5.000
_cell_angle_alpha 90.00
_cell_angle_beta 90.00
_cell_angle_gamma 90.00
loop_
_atom_site_label
_atom_site_type_symbol
_atom_site_fract_x
_atom_site_fract_y
_atom_site_fract_z
K1 K 0.000 0.000 0.000
Zn1 Zn 0.000 0.000 0.500
Ir1 Ir 0.500 0.500 0.500
# V: 25.01 Å³/atom
# E_form: 2.1148 eV per atom
# total energy: -109.4 eV for the cell shown
# excess energy over the best structure of this formula in the dataset: 2283 meV per atom



Entry 6:
# YSnGe3 (meta-GGA SCAN, single point on PBEsol structure)
data_YSnGe3
_chemical_formula_sum 'Y1 Sn1 Ge3'
_space_group_name_H-M_alt 'P m -3 m'
_space_group_IT_number 221
_space_group_name_Hall '-P 4 2 3'
_cell_length_a 5.271
_cell_length_b 5.271
_cell_length_c 5.271
_cell_angle_alpha 90.00
_cell_angle_beta 90.00
_cell_angle_gamma 90.00
loop_
_atom_site_label
_atom_site_type_symbol
_atom_site_fract_x
_atom_site_fract_y
_atom_site_fract_z
Y1 Y 0.000 0.000 0.000
Sn1 Sn 0.500 0.500 0.500
Ge1 Ge 0.000 0.000 0.500
# V: 29.29 Å³/atom
# E_form: 0.7563 eV per atom
# total energy: -117.2 eV for the cell shown



Entry 7:
# La2CdHg (meta-GGA SCAN, single point on PBEsol structure)
data_La2CdHg
_chemical_formula_sum 'La2 Cd1 Hg1'
_space_group_name_H-M_alt 'P 4/m m m'
_space_group_IT_number 123
_space_group_name_Hall '-P 4 2'
_cell_length_a 5.436
_cell_length_b 5.436
_cell_length_c 3.839
_cell_angle_alpha 90.00
_cell_angle_beta 90.00
_cell_angle_gamma 90.00
loop_
_atom_site_label
_atom_site_type_symbol
_atom_site_fract_x
_atom_site_fract_y
_atom_site_fract_z
La1 La 0.000 0.500 0.000
Cd1 Cd 0.000 0.000 0.500
Hg1 Hg 0.500 0.500 0.500
# V: 28.37 Å³/atom
# E_form: -0.5664 eV per atom
# total energy: -187.1 eV for the cell shown
# excess energy over the best structure of this formula in the dataset: 0 meV per atom



Entry 8:
# YOsPb2 (meta-GGA SCAN, single point on PBEsol structure)
data_YOsPb2
_chemical_formula_sum 'Y1 Os1 Pb2'
_space_group_name_H-M_alt 'P 1 2/m 1'
_space_group_IT_number 10
_cell_length_a 3.489
_cell_length_b 4.679
_cell_length_c 5.627
_cell_angle_alpha 90.00
_cell_angle_beta 98.29
_cell_angle_gamma 90.00
loop_
_space_group_symop_operation_xyz
'x,y,z'
'-x,-y,-z'
'-x,y,-z'
'x,-y,z'
loop_
_atom_site_label
_atom_site_type_symbol
_atom_site_fract_x
_atom_site_fract_y
_atom_site_fract_z
Y1 Y 0.000 0.000 0.000
Os1 Os 0.500 0.000 0.500
Pb1 Pb 0.336 0.500 0.734
# V: 22.73 Å³/atom
# E_form: 0.1427 eV per atom
# total energy: -250.7 eV for the cell shown



Entry 9:
# TaIrBr2 (meta-GGA SCAN, single point on PBEsol structure)
data_TaIrBr2
_chemical_formula_sum 'Ta2 Ir2 Br4'
_space_group_name_H-M_alt 'C m m 2'
_space_group_IT_number 35
_cell_length_a 4.584
_cell_length_b 4.612
_cell_length_c 8.072
_cell_angle_alpha 90.00
_cell_angle_beta 90.00
_cell_angle_gamma 90.00
loop_
_space_group_symop_operation_xyz
'x,y,z'
'-x,-y,z'
'-x,y,z'
'x,-y,z'
'x+1/2,y+1/2,z'
'-x+1/2,-y+1/2,z'
'-x+1/2,y+1/2,z'
'x+1/2,-y+1/2,z'
loop_
_atom_site_label
_atom_site_type_symbol
_atom_site_fract_x
_atom_site_fract_y
_atom_site_fract_z
Ta1 Ta 0.000 0.000 0.000
Ir1 Ir 0.000 0.500 0.155
Br1 Br 0.000 0.000 0.371
Br2 Br 0.000 0.500 0.755
# V: 21.33 Å³/atom
# total energy: -354.2 eV for the cell shown
# excess energy over the best structure of this formula in the dataset: 424 meV per atom
# E_form (uncorrected): -124 meV/atom



Entry 10:
# TiMnCoPt2 (meta-GGA SCAN, single point on PBEsol structure)
data_TiMnCoPt2
_chemical_formula_sum 'Ti1 Mn1 Co1 Pt2'
_space_group_name_H-M_alt 'P 4/m m m'
_space_group_IT_number 123
_space_group_name_Hall '-P 4 2'
_cell_length_a 4.582
_cell_length_b 4.582
_cell_length_c 4.215
_cell_angle_alpha 90.00
_cell_angle_beta 90.00
_cell_angle_gamma 90.00
loop_
_atom_site_label
_atom_site_type_symbol
_atom_site_fract_x
_atom_site_fract_y
_atom_site_fract_z
Ti1 Ti 0.000 0.000 0.000
Mn1 Mn 0.000 0.000 0.500
Co1 Co 0.500 0.500 0.500
Pt1 Pt 0.000 0.500 0.000
# V: 17.70 Å³/atom
# E_form: 0.8581 eV per atom
# total energy: -187.7 eV for the cell shown



Entry 11:
# ZnAu3 (meta-GGA SCAN, single point on PBEsol structure)
data_ZnAu3
_chemical_formula_sum 'Zn1 Au3'
_space_group_name_H-M_alt 'P -6 m 2'
_space_group_IT_number 187
_space_group_name_Hall 'P -6 2'
_cell_length_a 2.9188
_cell_length_b 2.9188
_cell_length_c 8.8130
_cell_angle_alpha 90.00
_cell_angle_beta 90.00
_cell_angle_gamma 120.00
loop_
_atom_site_label
_atom_site_type_symbol
_atom_site_fract_x
_atom_site_fract_y
_atom_site_fract_z
Zn1 Zn 0.0000 0.0000 0.0000
Au1 Au 0.0000 0.0000 0.5000
Au2 Au 0.3333 0.6667 0.2329
# V: 16.26 Å³/atom
# E_form: -0.1079 eV per atom
# total energy: -221.4 eV for the cell shown



Entry 12:
# NbGaIr2Au (meta-GGA SCAN, single point on PBEsol structure)
data_NbGaIr2Au
_chemical_formula_sum 'Nb1 Ga1 Ir2 Au1'
_space_group_name_H-M_alt 'P 4/m m m'
_space_group_IT_number 123
_space_group_name_Hall '-P 4 2'
_cell_length_a 4.853
_cell_length_b 4.853
_cell_length_c 4.404
_cell_angle_alpha 90.00
_cell_angle_beta 90.00
_cell_angle_gamma 90.00
loop_
_atom_site_label
_atom_site_type_symbol
_atom_site_fract_x
_atom_site_fract_y
_atom_site_fract_z
Nb1 Nb 0.000 0.000 0.000
Ga1 Ga 0.500 0.500 0.000
Ir1 Ir 0.000 0.500 0.500
Au1 Au 0.500 0.500 0.500
# V: 20.74 Å³/atom
# E_form: 1.6417 eV per atom
# total energy: -252.6 eV for the cell shown



Q: The highest total energy belongs to which entry?
A: InCuSi



Q: V of number 3 (Cd2CoCu)?
A: 15.17 Å³/atom



Q: Among the records above, which one has the highest V?
A: Ba2HgSb



Q: Which formula does entry 4 have?
A: InCuSi